Record 1
Material: Sn3H2Rh8
Method: DFT, GGA-PBE
State: optimized geometry

```
13
Lattice="2.749 1.587 7.264 -2.749 1.587 7.264 0.000 -3.174 7.264" Properties=species:S:1:pos:R:3 pbc="T T T"
Sn 0.000 0.000 0.000
Sn 0.000 0.000 4.378
Sn 0.000 0.000 17.415
H 0.000 0.000 8.708
H 0.000 0.000 13.085
Rh -1.375 -0.794 12.332
Rh 0.000 -1.587 9.460
Rh -1.375 0.794 9.460
Rh 0.000 0.000 6.929
Rh 0.000 0.000 14.864
Rh 1.375 -0.794 12.332
Rh 0.000 1.587 12.332
Rh 1.375 0.794 9.460
```

uncorrected energy: -6.020 eV per atom
total moment: 0.62 μB per formula unit

***

Record 2
Material: SnHRh3
Method: DFT, GGA-PBE
State: optimized geometry

```
5
Lattice="3.848 0.000 0.000 0.000 3.848 0.000 0.000 0.000 6.197" Properties=species:S:1:pos:R:3 pbc="T T T"
Sn 0.000 0.000 0.000
H 1.924 1.924 1.922
Rh 0.000 0.000 3.644
Rh 0.000 1.924 1.925
Rh 1.924 0.000 1.925
```

distance to the lowest polymorph of the same formula: 628 meV per atom
total moment: 0.00 μB per formula unit

***

Record 3
Material: Sn2HRh2
Method: DFT, GGA-PBE
State: optimized geometry

```
10
Lattice="1.605 -6.882 0.000 1.605 6.882 0.000 0.000 0.000 7.179" Properties=species:S:1:pos:R:3 pbc="T T T"
Sn 1.605 6.114 3.590
Sn 1.605 3.661 5.910
Sn 1.605 -3.661 2.321
Sn 1.605 -6.114 0.000
H 1.605 1.620 3.915
H 1.605 -1.620 0.326
Rh 1.605 5.041 1.124
Rh 1.605 0.972 2.153
Rh 1.605 -0.972 5.743
Rh 1.605 -5.041 4.714
```

uncorrected energy: -5.492 eV per atom
total moment: 0.00 μB per formula unit

***

Record 4
Material: SnH2Rh4
Method: DFT, GGA-PBE
State: optimized geometry

```
14
Lattice="4.887 0.000 0.000 -1.052 4.896 0.000 -1.546 -2.593 6.883" Properties=species:S:1:pos:R:3 pbc="T T T"
Sn 0.000 0.000 0.000
Sn 0.551 3.497 3.385
H -1.577 0.466 5.381
H 0.736 0.544 4.702
H 1.709 1.774 1.948
H 1.947 3.374 0.092
Rh -0.894 -1.016 4.731
Rh -0.134 0.834 2.744
Rh 0.557 2.557 0.678
Rh -0.181 1.846 5.475
Rh 2.438 0.321 1.322
Rh 1.528 -0.392 6.184
Rh 2.342 1.230 3.998
Rh 3.067 3.053 2.048
```

uncorrected energy: -5.811 eV per atom
total moment: 0.00 μB per formula unit

***

Record 5
Material: SnHRh2
Method: DFT, GGA-PBE
State: optimized geometry

```
12
Lattice="3.091 0.000 0.000 -1.545 2.677 0.000 0.000 0.000 18.964" Properties=species:S:1:pos:R:3 pbc="T T T"
Sn 0.000 0.000 0.000
Sn 0.000 1.784 12.643
Sn 1.545 0.892 6.321
H 0.000 0.000 9.482
H 0.000 1.784 3.161
H 1.545 0.892 15.803
Rh 0.000 0.000 4.289
Rh 0.000 0.000 14.675
Rh 0.000 1.784 8.354
Rh 0.000 1.784 16.932
Rh 1.545 0.892 2.032
Rh 1.545 0.892 10.610
```

distance to the lowest polymorph of the same formula: 115 meV per atom
total moment: 0.00 μB per formula unit

***

Record 6
Material: SnHRh3
Method: DFT, GGA-PBE
State: optimized geometry

```
10
Lattice="-2.292 2.292 9.730 2.292 -2.292 9.730 2.292 2.292 -9.730" Properties=species:S:1:pos:R:3 pbc="T T T"
Sn 0.000 0.000 0.000
Sn 0.000 2.292 4.865
H 2.292 0.000 2.853
H 2.292 0.000 6.877
Rh 0.000 0.000 6.692
Rh 0.000 1.123 2.402
Rh 0.000 0.000 12.768
Rh -1.170 2.292 7.328
Rh 1.170 2.292 7.328
Rh 0.000 3.462 2.402
```

distance to the lowest polymorph of the same formula: 1001 meV per atom
total moment: 0.00 μB per formula unit

***

- Which value of total moment does entry 6 give?
  0.00 μB per formula unit

***

- total moment of number 4 (SnH2Rh4)?
  0.00 μB per formula unit